[1]
DFT (PBEsol) results for LaTa2Ir after structural relaxation.

- SG = P4/mmm (123)
- electronic total energy (eV/atom) = -9.75
- volume (Å³/cell) = 78.8
- theoretical density (g cm⁻³) = 14.6
- energy above the lowest structure with this stoichiometry (meV per atom) = 238.1

The structure in CIF format:
```
data_LaTa2Ir
_space_group_name_H-M_alt 'P 1'
_space_group_IT_number 1
_cell_length_a 3.9828
_cell_length_b 3.9828
_cell_length_c 4.9660
_cell_angle_alpha 90.00
_cell_angle_beta 90.00
_cell_angle_gamma 90.00
loop_
_space_group_symop_operation_xyz
'x,y,z'
loop_
_atom_site_label
_atom_site_type_symbol
_atom_site_fract_x
_atom_site_fract_y
_atom_site_fract_z
La1 La 0.0000 0.0000 0.0000
Ta1 Ta 0.0000 0.5000 0.5000
Ta2 Ta 0.5000 0.0000 0.5000
Ir1 Ir 0.5000 0.5000 0.0000
```

***

[2]
DFT (PBEsol) results for LaTaIr2 after structural relaxation.

- SG = P4/mmm (123)
- electronic total energy (eV/atom) = -9.92
- volume (Å³/cell) = 74.7
- theoretical density (g cm⁻³) = 15.6

The structure in CIF format:
```
data_LaTaIr2
_space_group_name_H-M_alt 'P 1'
_space_group_IT_number 1
_cell_length_a 3.1165
_cell_length_b 3.1165
_cell_length_c 7.6954
_cell_angle_alpha 90.00
_cell_angle_beta 90.00
_cell_angle_gamma 90.00
loop_
_space_group_symop_operation_xyz
'x,y,z'
loop_
_atom_site_label
_atom_site_type_symbol
_atom_site_fract_x
_atom_site_fract_y
_atom_site_fract_z
La1 La 0.0000 0.0000 0.0000
Ta1 Ta 0.0000 0.0000 0.5000
Ir1 Ir 0.5000 0.5000 0.3007
Ir2 Ir 0.5000 0.5000 0.6993
```

***

[3]
DFT (PBEsol) results for LaTa2Ir2 after structural relaxation.

- SG = I4/mmm (139)
- electronic total energy (eV/atom) = -10.58
- volume (Å³/cell) = 103.8
- theoretical density (g cm⁻³) = 14.2

The structure in CIF format:
```
data_LaTa2Ir2
_space_group_name_H-M_alt 'P 1'
_space_group_IT_number 1
_cell_length_a 6.1396
_cell_length_b 6.1396
_cell_length_c 6.1396
_cell_angle_alpha 137.66
_cell_angle_beta 137.66
_cell_angle_gamma 61.42
loop_
_space_group_symop_operation_xyz
'x,y,z'
loop_
_atom_site_label
_atom_site_type_symbol
_atom_site_fract_x
_atom_site_fract_y
_atom_site_fract_z
La1 La 0.0000 0.0000 0.0000
Ta1 Ta 0.2500 0.7500 0.5000
Ta2 Ta 0.7500 0.2500 0.5000
Ir1 Ir 0.3731 0.3731 0.0000
Ir2 Ir 0.6269 0.6269 0.0000
```

***

[4]
DFT (PBEsol) results for LaTa3Ir after structural relaxation.

- SG = Pm-3m (221)
- electronic total energy (eV/atom) = -8.10
- volume (Å³/cell) = 106.4
- theoretical density (g cm⁻³) = 13.6

The structure in CIF format:
```
data_LaTa3Ir
_space_group_name_H-M_alt 'P 1'
_space_group_IT_number 1
_cell_length_a 4.7382
_cell_length_b 4.7382
_cell_length_c 4.7382
_cell_angle_alpha 90.00
_cell_angle_beta 90.00
_cell_angle_gamma 90.00
loop_
_space_group_symop_operation_xyz
'x,y,z'
loop_
_atom_site_label
_atom_site_type_symbol
_atom_site_fract_x
_atom_site_fract_y
_atom_site_fract_z
La1 La 0.0000 0.0000 0.0000
Ta1 Ta 0.0000 0.0000 0.5000
Ta2 Ta 0.0000 0.5000 0.0000
Ta3 Ta 0.5000 0.0000 0.0000
Ir1 Ir 0.5000 0.5000 0.5000
```

***

[5]
DFT (PBEsol) results for LaTa2Ir after structural relaxation.

- SG = Immm (71)
- electronic total energy (eV/atom) = -9.97
- volume (Å³/cell) = 81.1
- theoretical density (g cm⁻³) = 14.2
- energy above the lowest structure with this stoichiometry (meV per atom) = 19.6

The structure in CIF format:
```
data_LaTa2Ir
_space_group_name_H-M_alt 'P 1'
_space_group_IT_number 1
_cell_length_a 6.2206
_cell_length_b 6.2206
_cell_length_c 6.2206
_cell_angle_alpha 152.63
_cell_angle_beta 132.54
_cell_angle_gamma 55.66
loop_
_space_group_symop_operation_xyz
'x,y,z'
loop_
_atom_site_label
_atom_site_type_symbol
_atom_site_fract_x
_atom_site_fract_y
_atom_site_fract_z
La1 La 0.0000 0.0000 0.0000
Ta1 Ta 0.2881 0.7881 0.5000
Ta2 Ta 0.7119 0.2119 0.5000
Ir1 Ir 0.5000 0.5000 0.0000
```

***

[6]
DFT (PBEsol) results for La2TaIr after structural relaxation.

- SG = P4mm (99)
- electronic total energy (eV/atom) = -8.42
- volume (Å³/cell) = 96.6
- theoretical density (g cm⁻³) = 11.2
- energy above the lowest structure with this stoichiometry (meV per atom) = 0.0

The structure in CIF format:
```
data_La2TaIr
_space_group_name_H-M_alt 'P 1'
_space_group_IT_number 1
_cell_length_a 3.2520
_cell_length_b 3.2520
_cell_length_c 9.1392
_cell_angle_alpha 90.00
_cell_angle_beta 90.00
_cell_angle_gamma 90.00
loop_
_space_group_symop_operation_xyz
'x,y,z'
loop_
_atom_site_label
_atom_site_type_symbol
_atom_site_fract_x
_atom_site_fract_y
_atom_site_fract_z
La1 La 0.0000 0.0000 0.0000
La2 La 0.5000 0.5000 0.3647
Ta1 Ta 0.0000 0.0000 0.6189
Ir1 Ir 0.5000 0.5000 0.7605
```

***

[7]
DFT (PBEsol) results for LaTaIr after structural relaxation.

- SG = F-43m (216)
- electronic total energy (eV/atom) = -8.89
- volume (Å³/cell) = 65.2
- theoretical density (g cm⁻³) = 13.0

The structure in CIF format:
```
data_LaTaIr
_space_group_name_H-M_alt 'P 1'
_space_group_IT_number 1
_cell_length_a 4.5179
_cell_length_b 4.5179
_cell_length_c 4.5179
_cell_angle_alpha 60.00
_cell_angle_beta 60.00
_cell_angle_gamma 60.00
loop_
_space_group_symop_operation_xyz
'x,y,z'
loop_
_atom_site_label
_atom_site_type_symbol
_atom_site_fract_x
_atom_site_fract_y
_atom_site_fract_z
La1 La 0.0000 0.0000 0.0000
Ta1 Ta 0.2500 0.2500 0.2500
Ir1 Ir 0.5000 0.5000 0.5000
```

***

[8]
DFT (PBEsol) results for La2TaIr after structural relaxation.

- SG = Imm2 (44)
- electronic total energy (eV/atom) = -8.33
- volume (Å³/cell) = 98.1
- theoretical density (g cm⁻³) = 11.0
- energy above the lowest structure with this stoichiometry (meV per atom) = 91.7

The structure in CIF format:
```
data_La2TaIr
_space_group_name_H-M_alt 'P 1'
_space_group_IT_number 1
_cell_length_a 6.2573
_cell_length_b 6.2573
_cell_length_c 6.2573
_cell_angle_alpha 147.71
_cell_angle_beta 130.85
_cell_angle_gamma 60.03
loop_
_space_group_symop_operation_xyz
'x,y,z'
loop_
_atom_site_label
_atom_site_type_symbol
_atom_site_fract_x
_atom_site_fract_y
_atom_site_fract_z
La1 La 0.0000 0.0000 0.0000
La2 La 0.7078 0.2078 0.5000
Ta1 Ta 0.2925 0.7925 0.5000
Ir1 Ir 0.4568 0.4568 0.0000
```